Material: NbFeNF2
Method: DFT, GGA+U
State: relaxed

Cell: 3.8092 3.8092 4.3748 Å, 90.00 90.00 90.00°
With the nearest neighbours (Å) after each atom.
Fractional positions:
Nb (0.0000, 0.0000, 0.0000)  4 N 2.69, 8 F 2.90
Fe (0.5000, 0.5000, 0.5000)  4 F 1.90
N (0.5000, 0.5000, 0.0000)  2 Fe 2.19
F (0.0000, 0.5000, 0.5000)  2 Fe 1.90
F (0.5000, 0.0000, 0.5000)  2 Fe 1.90

raw total energy: -6.014 eV per atom
crystal system: tetragonal
V: 63.5 Å³/cell
DOS(E_F): 3.5 states/eV/f.u.